Here is SrPu2WO8 after structural relaxation from Alexandria via LeMat-Bulk. Energies are from PBE with a Hubbard U. Values from VASP.

Geometry as Quantum ESPRESSO input:
```
&SYSTEM
  ibrav = 0, nat = 12, ntyp = 4
/
ATOMIC_SPECIES
Sr 87.62 Sr.upf
Pu 244.00 Pu.upf
W 183.84 W.upf
O 16.00 O.upf
ATOMIC_POSITIONS angstrom
Sr 0.0000 0.0000 0.0000
Pu 3.5798 0.0000 1.7699
Pu 3.5798 0.0000 5.2021
W 0.0000 0.0000 3.4860
O 1.3481 0.0000 2.0882
O 1.3481 0.0000 4.8837
O 3.5798 1.5830 3.4860
O 3.5798 1.2297 0.0000
O 3.5798 -1.2297 0.0000
O 3.5798 -1.5830 3.4860
O 5.8115 0.0000 2.0882
O 5.8115 0.0000 4.8837
CELL_PARAMETERS angstrom
3.5798 -3.6169 0.0000
3.5798 3.6169 0.0000
0.0000 0.0000 6.9720
```

Summary:
Total magnetic moment in μB per formula unit: 8.00
DOS(E_F) in states/eV/atom: 0.6569
VASP energy in eV per atom: -9.102